Run w
## Cs5Sb2I12 (PBE)

Data for a geometry-optimized Cs5Sb2I12 structure.

Lattice parameters (Å, degrees): 15.3651 15.9523 9.9453 90.00 97.99 90.00
Last column: nearest neighbours and their distance in Å.
Space group C2/m (No. 12)
Symmetry-distinct sites (fractional):
Cs (0.0000, 0.0000, 0.0000)  6 I 3.93-3.95
Cs (0.1805, 0.5000, 0.0413)  3 I 3.66-3.91
Cs (0.1848, 0.5000, 0.5350)  7 I 3.79-4.11
Sb (0.0000, 0.1505, 0.5000)  4 I 2.86-3.06
I (0.0017, 0.5000, 0.7572)  4 Cs 3.66-3.81
I (0.1105, 0.2682, 0.6598)  1 Sb 2.86
I (0.1170, 0.0000, 0.6731)  2 Sb 3.33
I (0.1249, 0.1447, 0.2864)  1 Sb 3.06

Values from the calculation:
DOS at the Fermi energy   1.079 states/eV/atom
Magnetization   0.000 Bohr magnetons per cell

***

Run x
## Cs5Sb2I12 (PBE)

Data for a geometry-optimized Cs5Sb2I12 structure.

Lattice parameters (Å, degrees): 21.3867 8.7790 12.6640 90.00 107.55 90.00
Last column: nearest neighbours and their distance in Å.
Space group C2/m (No. 12)
Symmetry-distinct sites (fractional):
Cs (0.0000, 0.0000, 0.0000)  6 I 3.84-4.18
Cs (0.1928, 0.5000, 0.3471)  7 I 3.84-4.08
Cs (0.1998, 0.5000, 0.8528)  7 I 3.89-4.16
Sb (0.0000, 0.2499, 0.5000)  6 I 3.02-3.10
I (0.0007, 0.0000, 0.6700)  2 Sb 3.07
I (0.0014, 0.5000, 0.6740)  2 Sb 3.10
I (0.1474, 0.2716, 0.0758)  4 Cs 3.84-3.92, 1 I 4.01
I (0.1479, 0.2520, 0.5739)  1 Sb 3.02

Values from the calculation:
DOS at the Fermi energy   0.232 states/eV/atom
Magnetization   2.096 Bohr magnetons per cell

***

Top of the stability list: run x, leading by 42 meV per atom.

***

Run w
## Cs2SbI5 (PBE)

Data for a geometry-optimized Cs2SbI5 structure.

Lattice parameters (Å, degrees): 8.9691 8.9691 10.7845 90.00 90.00 90.00
Last column: nearest neighbours and their distance in Å.
Space group I4mm (No. 107)
Symmetry-distinct sites (fractional):
Cs (0.0000, 0.5000, 0.0000)  10 I 4.16-4.49
Sb (0.0000, 0.0000, 0.2635)  5 I 2.78-3.05
I (0.0000, 0.0000, 0.5208)  1 Sb 2.78
I (0.2400, 0.2400, 0.2500)  1 Sb 3.05

Values from the calculation:
DOS at the Fermi energy   0.000 states/eV/atom
Magnetization   0.000 Bohr magnetons per cell

***

Run x
## Cs2SbI5 (PBE)

Data for a geometry-optimized Cs2SbI5 structure.

Lattice parameters (Å, degrees): 7.3791 8.9515 10.0162 96.31 111.52 114.02
Last column: nearest neighbours and their distance in Å.
Space group P1 (No. 1)
Symmetry-distinct sites (fractional):
Cs (0.0000, 0.0000, 0.0000)  6 I 3.87-4.05
Cs (0.0613, 0.6292, 0.4915)  6 I 3.88-4.05
Sb (0.5548, 0.3143, 0.7450)  5 I 2.84-3.06
I (0.2066, 0.0759, 0.4308)  1 Sb 3.03
I (0.4416, 0.0108, 0.8708)  1 Sb 3.06
I (0.6207, 0.6184, 0.6198)  1 Sb 3.06
I (0.7690, 0.5540, 0.0605)  1 Sb 3.03
I (0.9345, 0.3087, 0.7401)  1 Sb 2.84

Values from the calculation:
DOS at the Fermi energy   0.000 states/eV/atom
Magnetization   0.000 Bohr magnetons per cell

***

Top of the stability list: run w, leading by 28 meV per atom.

***

Run w
## Cs3SbI (PBE)

Data for a geometry-optimized Cs3SbI structure.

Lattice parameters (Å, degrees): 7.2978 7.2978 7.2978 90.00 90.00 90.00
Last column: nearest neighbours and their distance in Å.
Space group Pm-3m (No. 221)
Symmetry-distinct sites (fractional):
Cs (0.0000, 0.0000, 0.5000)  2 Sb 3.65
Sb (0.0000, 0.0000, 0.0000)  6 Cs 3.65
I (0.5000, 0.5000, 0.5000)  12 Cs 5.16

Values from the calculation:
DOS at the Fermi energy   0.625 states/eV/atom
Magnetization   1.000 Bohr magnetons per cell

***

Run x
## Cs3SbI (PBE)

Data for a geometry-optimized Cs3SbI structure.

Lattice parameters (Å, degrees): 6.4160 7.0561 14.5461 89.58 77.27 62.98
Last column: nearest neighbours and their distance in Å.
Space group P1 (No. 1)
Symmetry-distinct sites (fractional):
Cs (0.0000, 0.0000, 0.0000)  4 Cs 3.75-4.04, 1 I 3.84, 5 Sb 3.92-4.07
Cs (0.0881, 0.6331, 0.1916)  4 Cs 3.75-4.04, 1 I 3.84, 5 Sb 3.92-4.07
Cs (0.2876, 0.9701, 0.4537)  4 I 3.90-4.00, 1 Sb 3.95
Cs (0.3887, 0.2882, 0.9346)  3 Cs 3.85-4.04, 4 Sb 4.02-4.31
Cs (0.6995, 0.3448, 0.2572)  3 Cs 3.85-4.04, 4 Sb 4.02-4.31
Cs (0.7991, 0.6637, 0.7378)  4 I 3.91-4.00, 1 Sb 3.95
Sb (0.4196, 0.9858, 0.1760)  1 Sb 2.94
Sb (0.6687, 0.6473, 0.0157)  1 Sb 2.94
I (0.1138, 0.0409, 0.7319)  5 Cs 3.84-4.00
I (0.9731, 0.5924, 0.4595)  5 Cs 3.84-4.00

Values from the calculation:
Magnetization   0.000 Bohr magnetons per cell

***

Top of the stability list: run x, leading by 238 meV per atom.

***

Run w
## Cs2SbI4 (PBE)

Data for a geometry-optimized Cs2SbI4 structure.

Lattice parameters (Å, degrees): 6.3003 6.3003 19.0092 90.00 90.00 90.00
Last column: nearest neighbours and their distance in Å.
Space group I4/mmm (No. 139)
Symmetry-distinct sites (fractional):
Cs (0.0000, 0.0000, 0.1344)  5 I 3.88-4.06
Sb (0.0000, 0.0000, 0.5000)  6 I 3.07-3.15
I (0.0000, 0.0000, 0.3383)  1 Sb 3.07
I (0.0000, 0.5000, 0.0000)  2 Sb 3.15

Values from the calculation:
DOS at the Fermi energy   0.373 states/eV/atom
Magnetization   0.002 Bohr magnetons per cell

***

Run x
## Cs2SbI4 (PBE)

Data for a geometry-optimized Cs2SbI4 structure.

Lattice parameters (Å, degrees): 8.8885 8.8885 10.1487 90.00 90.00 90.00
Last column: nearest neighbours and their distance in Å.
Space group I-42m (No. 121)
Symmetry-distinct sites (fractional):
Cs (0.0000, 0.5000, 0.2500)  8 I 4.04
Sb (0.0000, 0.0000, 0.0000)  4 I 3.04
I (0.2421, 0.2421, 0.9994)  1 Sb 3.04

Values from the calculation:
Magnetization   2.000 Bohr magnetons per cell

***

Top of the stability list: run w, leading by 12 meV per atom.

***

Run w
## CsSnSb2I (PBE)

Data for a geometry-optimized CsSnSb2I structure.

Lattice parameters (Å, degrees): 6.3138 6.3138 6.6436 90.00 90.00 90.00
Last column: nearest neighbours and their distance in Å.
Space group P4/mmm (No. 123)
Symmetry-distinct sites (fractional):
Cs (0.0000, 0.0000, 0.0000)  4 Sb 3.16, 2 I 3.32
Sn (0.5000, 0.5000, 0.5000)  4 I 4.46, 8 Sb 4.58
Sb (0.0000, 0.5000, 0.0000)  2 Cs 3.16
I (0.0000, 0.0000, 0.5000)  2 Cs 3.32

Values from the calculation:
DOS at the Fermi energy   1.035 states/eV/atom
Magnetization   1.399 Bohr magnetons per cell

***

Run x
## CsSnSb2I (PBE)

Data for a geometry-optimized CsSnSb2I structure.

Lattice parameters (Å, degrees): 5.7636 5.7636 6.7642 90.00 90.00 90.00
Last column: nearest neighbours and their distance in Å.
Space group P4/mmm (No. 123)
Symmetry-distinct sites (fractional):
Cs (0.0000, 0.0000, 0.0000)  4 I 4.08, 8 Sb 4.44
Sn (0.5000, 0.5000, 0.5000)  4 Sb 2.88
Sb (0.0000, 0.5000, 0.5000)  2 Sn 2.88
I (0.5000, 0.5000, 0.0000)  2 Sn 3.38

Values from the calculation:
DOS at the Fermi energy   0.947 states/eV/atom
Magnetization   0.991 Bohr magnetons per cell

***

Top of the stability list: run x, leading by 1104 meV per atom.

***

Run w
## CsSrSb2I (PBE)

Data for a geometry-optimized CsSrSb2I structure.

Lattice parameters (Å, degrees): 6.1696 6.1696 6.7239 90.00 90.00 90.00
Last column: nearest neighbours and their distance in Å.
Space group P4/mmm (No. 123)
Symmetry-distinct sites (fractional):
Cs (0.0000, 0.0000, 0.0000)  4 Sb 3.08, 2 I 3.36
Sr (0.5000, 0.5000, 0.5000)  4 I 4.36, 8 Sb 4.56
Sb (0.0000, 0.5000, 0.0000)  2 Cs 3.08
I (0.0000, 0.0000, 0.5000)  2 Cs 3.36

Values from the calculation:
DOS at the Fermi energy   1.482 states/eV/atom
Magnetization   0.669 Bohr magnetons per cell

***

Run x
## CsSrSb2I (PBE)

Data for a geometry-optimized CsSrSb2I structure.

Lattice parameters (Å, degrees): 6.3593 6.3593 6.5456 90.00 90.00 90.00
Last column: nearest neighbours and their distance in Å.
Space group P4/mmm (No. 123)
Symmetry-distinct sites (fractional):
Cs (0.0000, 0.0000, 0.0000)  4 I 4.50, 8 Sb 4.56
Sr (0.5000, 0.5000, 0.5000)  4 Sb 3.18, 2 I 3.27
Sb (0.0000, 0.5000, 0.5000)  2 Sr 3.18
I (0.5000, 0.5000, 0.0000)  2 Sr 3.27

Values from the calculation:
DOS at the Fermi energy   0.583 states/eV/atom
Magnetization   1.975 Bohr magnetons per cell

***

Top of the stability list: run x, leading by 653 meV per atom.